Entry from the Alexandria database: a relaxed structure of Nd2Bi2O7 (PBE).

Properties
Raw formation energy: -2.0592 eV/atom
VASP energy: -74.7 eV per cell

Cell lengths 5.734, 5.734, 5.517 Å; angles 92.90, 92.90, 95.38 degrees
Positions (direct):
Nd 0.237 0.763 0.000
Nd 0.763 0.237 0.000
Bi 0.252 0.252 0.463
Bi 0.776 0.776 0.508
O 0.016 0.016 0.744
O 0.073 0.454 0.211
O 0.454 0.073 0.211
O 0.522 0.904 0.723
O 0.567 0.567 0.243
O 0.904 0.522 0.723
O 0.977 0.977 0.256